The following is a DFT calculation (GGA-PBEsol) of crystalline KTaSe2Cl at its relaxed geometry.

It has space group P4/mmm (No. 123), with a = 5.1354 Å, b = 5.1354 Å, c = 5.0052 Å, α = 90.00°, β = 90.00° and γ = 90.00°. The distinct sites, in fractional coordinates, are K at (0.0000, 0.0000, 0.0000), Ta at (0.5000, 0.5000, 0.0000), Se at (0.0000, 0.5000, 0.5000) and Cl at (0.0000, 0.0000, 0.5000).

As for the uncorrected formation energy: 5.05 eV per formula unit. The density of states at the Fermi level is 3.92 states/eV/cell.